[1]
Computed, not measured: a geometry-optimized ZnFe3Ag structure at the PBE level of DFT.

Values from the calculation:
Fermi-level density of states (states/eV/cell): 7.59
M_tot (μB/cell): 9.3
Formation energy from the elements (eV/atom): 1.562

Lattice parameters (Å, degrees): 4.708 4.708 4.708 90.00 90.00 90.00
Last column: magnetic moment on the atom in μB.
Fractional coordinates of all 5 atoms:
1 Fe 0.500 0.000 0.000  2.51
2 Fe 0.000 0.000 0.500  3.68
3 Fe 0.000 0.500 0.000  3.15
4 Ag 0.000 0.000 0.000  0.10
5 Zn 0.500 0.500 0.500  -0.04

=====

[2]
Computed, not measured: a geometry-optimized Zn5FeAg structure at the PBE level of DFT.

Values from the calculation:
Fermi-level density of states (states/eV/cell): 2.54
M_tot (μB/cell): 2.1
Formation energy from the elements (eV/atom): 0.093

Lattice parameters (Å, degrees): 4.166 4.166 6.314 90.00 90.00 90.00
Last column: magnetic moment on the atom in μB.
Fractional coordinates of all 7 atoms:
1 Zn 0.500 0.000 0.713  -0.02
2 Zn 0.500 0.500 0.000  0.01
3 Zn 0.000 0.500 0.713  -0.02
4 Zn 0.500 0.000 0.287  -0.02
5 Zn 0.000 0.500 0.287  -0.02
6 Ag 0.000 0.000 0.000  0.00
7 Fe 0.000 0.000 0.500  2.13